Entry 1:
Here is CuSbP2 after structural relaxation from Alexandria via LeMat-Bulk. Energies are from PBE-GGA.

Cell and atoms, written as CIF:
```
data_CuSbP2
_space_group_name_H-M_alt 'R -3 m'
_space_group_IT_number 166
_space_group_name_Hall '-R 3 2"'
_cell_length_a 3.7045
_cell_length_b 3.7045
_cell_length_c 17.9308
_cell_angle_alpha 90.00
_cell_angle_beta 90.00
_cell_angle_gamma 120.00
loop_
_atom_site_label
_atom_site_type_symbol
_atom_site_fract_x
_atom_site_fract_y
_atom_site_fract_z
Cu1 Cu 0.0000 0.0000 0.0000
Sb1 Sb 0.0000 0.0000 0.5000
P1 P 0.0000 0.0000 0.2635
```

DOS at the Fermi energy   5.53 states/eV per cell
Total energy   -4.585 eV per atom

***

Entry 2:
Here is CuSbP2 after structural relaxation from Alexandria via LeMat-Bulk. Energies are from PBE-GGA.

Cell and atoms, written as CIF:
```
data_CuSbP2
_space_group_name_H-M_alt 'I -4 2 d'
_space_group_IT_number 122
_space_group_name_Hall 'I -4 2bw'
_cell_length_a 5.578
_cell_length_b 5.578
_cell_length_c 11.230
_cell_angle_alpha 90.00
_cell_angle_beta 90.00
_cell_angle_gamma 90.00
loop_
_atom_site_label
_atom_site_type_symbol
_atom_site_fract_x
_atom_site_fract_y
_atom_site_fract_z
Cu1 Cu 0.000 0.000 0.000
Sb1 Sb 0.000 0.000 0.500
P1 P 0.208 0.250 0.125
```

DOS at the Fermi energy   0.19 states/eV per cell
Total energy   -4.683 eV per atom

***

Entry 3:
Here is Cu2SbP after structural relaxation from Alexandria via LeMat-Bulk. Energies are from PBE-GGA.

Cell and atoms, written as CIF:
```
data_Cu2SbP
_space_group_name_H-M_alt 'F m -3 m'
_space_group_IT_number 225
_space_group_name_Hall '-F 4 2 3'
_cell_length_a 6.430
_cell_length_b 6.430
_cell_length_c 6.430
_cell_angle_alpha 90.00
_cell_angle_beta 90.00
_cell_angle_gamma 90.00
loop_
_atom_site_label
_atom_site_type_symbol
_atom_site_fract_x
_atom_site_fract_y
_atom_site_fract_z
Cu1 Cu 0.250 0.250 0.250
Sb1 Sb 0.000 0.000 0.000
P1 P 0.000 0.000 0.500
```

DOS at the Fermi energy   9.10 states/eV per cell
Total energy   -4.021 eV per atom
Energy above the most stable polymorph in this dataset   304 meV/atom

***

Entry 4:
Here is CuSbP2Se after structural relaxation from Alexandria via LeMat-Bulk. Energies are from PBE-GGA.

Cell and atoms, written as CIF:
```
data_CuSbP2Se
_space_group_name_H-M_alt 'P 4/m m m'
_space_group_IT_number 123
_space_group_name_Hall '-P 4 2'
_cell_length_a 4.962
_cell_length_b 4.962
_cell_length_c 4.404
_cell_angle_alpha 90.00
_cell_angle_beta 90.00
_cell_angle_gamma 90.00
loop_
_atom_site_label
_atom_site_type_symbol
_atom_site_fract_x
_atom_site_fract_y
_atom_site_fract_z
Cu1 Cu 0.000 0.000 0.000
Sb1 Sb 0.500 0.500 0.000
P1 P 0.000 0.500 0.500
Se1 Se 0.000 0.000 0.500
```

DOS at the Fermi energy   4.11 states/eV per cell
Total energy   -3.741 eV per atom

***

Entry 5:
Here is CuSbTe2P after structural relaxation from Alexandria via LeMat-Bulk. Energies are from PBE-GGA.

Cell and atoms, written as CIF:
```
data_CuSbTe2P
_space_group_name_H-M_alt 'P 4/m m m'
_space_group_IT_number 123
_space_group_name_Hall '-P 4 2'
_cell_length_a 5.337
_cell_length_b 5.337
_cell_length_c 4.999
_cell_angle_alpha 90.00
_cell_angle_beta 90.00
_cell_angle_gamma 90.00
loop_
_atom_site_label
_atom_site_type_symbol
_atom_site_fract_x
_atom_site_fract_y
_atom_site_fract_z
Cu1 Cu 0.000 0.000 0.000
Sb1 Sb 0.500 0.500 0.000
Te1 Te 0.000 0.500 0.500
P1 P 0.500 0.500 0.500
```

DOS at the Fermi energy   4.31 states/eV per cell
Total energy   -3.176 eV per atom
Energy above the most stable polymorph in this dataset   40 meV/atom

***

Entry 6:
Here is CuSb2TeP after structural relaxation from Alexandria via LeMat-Bulk. Energies are from PBE-GGA.

Cell and atoms, written as CIF:
```
data_CuSb2TeP
_space_group_name_H-M_alt 'P 4/m m m'
_space_group_IT_number 123
_space_group_name_Hall '-P 4 2'
_cell_length_a 5.146
_cell_length_b 5.146
_cell_length_c 5.298
_cell_angle_alpha 90.00
_cell_angle_beta 90.00
_cell_angle_gamma 90.00
loop_
_atom_site_label
_atom_site_type_symbol
_atom_site_fract_x
_atom_site_fract_y
_atom_site_fract_z
Cu1 Cu 0.000 0.000 0.000
Sb1 Sb 0.000 0.500 0.500
Te1 Te 0.500 0.500 0.000
P1 P 0.500 0.500 0.500
```

DOS at the Fermi energy   4.58 states/eV per cell
Total energy   -3.332 eV per atom
Energy above the most stable polymorph in this dataset   87 meV/atom

***

Entry 7:
Here is CuSbTe2P after structural relaxation from Alexandria via LeMat-Bulk. Energies are from PBE-GGA.

Cell and atoms, written as CIF:
```
data_CuSbTe2P
_space_group_name_H-M_alt 'P 4/m m m'
_space_group_IT_number 123
_space_group_name_Hall '-P 4 2'
_cell_length_a 5.093
_cell_length_b 5.093
_cell_length_c 5.007
_cell_angle_alpha 90.00
_cell_angle_beta 90.00
_cell_angle_gamma 90.00
loop_
_atom_site_label
_atom_site_type_symbol
_atom_site_fract_x
_atom_site_fract_y
_atom_site_fract_z
Cu1 Cu 0.000 0.000 0.000
Sb1 Sb 0.000 0.000 0.500
Te1 Te 0.000 0.500 0.000
P1 P 0.500 0.500 0.500
```

DOS at the Fermi energy   4.62 states/eV per cell
Total energy   -3.216 eV per atom
Energy above the most stable polymorph in this dataset   0 meV/atom

***

Entry 8:
Here is CuSb2TeP after structural relaxation from Alexandria via LeMat-Bulk. Energies are from PBE-GGA.

Cell and atoms, written as CIF:
```
data_CuSb2TeP
_space_group_name_H-M_alt 'P 4/m m m'
_space_group_IT_number 123
_space_group_name_Hall '-P 4 2'
_cell_length_a 5.029
_cell_length_b 5.029
_cell_length_c 5.084
_cell_angle_alpha 90.00
_cell_angle_beta 90.00
_cell_angle_gamma 90.00
loop_
_atom_site_label
_atom_site_type_symbol
_atom_site_fract_x
_atom_site_fract_y
_atom_site_fract_z
Cu1 Cu 0.000 0.000 0.000
Sb1 Sb 0.000 0.500 0.000
Te1 Te 0.000 0.000 0.500
P1 P 0.500 0.500 0.500
```

DOS at the Fermi energy   4.19 states/eV per cell
Total energy   -3.419 eV per atom
Energy above the most stable polymorph in this dataset   0 meV/atom